No. 1
This record from the Alexandria database describes Nd4Te2AsPd after structural relaxation. The functional is GGA-PBE.

a b c (Å): 7.6110 4.3145 7.6912
angles (deg): 90.00 108.88 90.00
With the nearest neighbours (Å) after each atom.
Space group P2/m (No. 10)
Inequivalent atoms, fractional coordinates:
Nd 0.2374 0.0000 0.2258 [2 per cell]  2 As 2.98, 1 Pd 3.04, 3 Te 3.19-3.22
Nd 0.2607 0.5000 0.7786 [2 per cell]  2 Pd 2.98, 1 As 3.00, 3 Te 3.23
Te 0.0000 0.0000 0.5000 [1 per cell]  6 Nd 3.19-3.23
Te 0.5000 0.5000 0.5000 [1 per cell]  6 Nd 3.22-3.23
As 0.0000 0.5000 0.0000 [1 per cell]  6 Nd 2.98-3.00
Pd 0.5000 0.0000 0.0000 [1 per cell]  6 Nd 2.98-3.04

Summary:
Energy relative to the elements, uncorrected ... -122.3 kJ/mol of atoms

No. 2
This record from the Alexandria database describes NdTe2As2Pd7 after structural relaxation. The functional is GGA-PBE.

a b c (Å): 5.7402 5.7379 15.3775
angles (deg): 90.00 100.58 90.00
With the nearest neighbours (Å) after each atom.
Space group C2/m (No. 12)
Inequivalent atoms, fractional coordinates:
Nd 0.0000 0.0000 0.0000 [2 per cell]  12 Pd 2.87-3.02
Te 0.2080 0.0000 0.4190 [4 per cell]  5 Pd 2.69-2.88
As 0.1189 0.5000 0.2418 [4 per cell]  5 Pd 2.44-2.48
Pd 0.0000 0.5000 0.0000 [2 per cell]  4 Nd 2.87, 8 Pd 3.02
Pd 0.1776 0.2500 0.8524 [8 per cell]  2 As 2.48
Pd 0.1998 0.5000 0.4032 [4 per cell]  1 As 2.44, 1 Te 2.69

Summary:
Energy relative to the elements, uncorrected ... -44.9 kJ/mol of atoms

No. 3
This record from the Alexandria database describes Nd2TiAs4Pd3 after structural relaxation. The functional is GGA-PBE.

a b c (Å): 4.3525 4.3525 10.5166
angles (deg): 90.00 90.00 90.00
With the nearest neighbours (Å) after each atom.
Space group P-4m2 (No. 115)
Inequivalent atoms, fractional coordinates:
Nd 0.0000 0.5000 0.2337 [2 per cell]  6 Pd 3.27-3.55, 8 As 3.28-3.37, 2 Ti 3.55
Ti 0.0000 0.0000 0.5000 [1 per cell]  4 As 2.60
As 0.0000 0.0000 0.0000 [1 per cell]  4 Pd 2.56
As 0.0000 0.5000 0.6354 [2 per cell]  3 Pd 2.48-2.60, 2 Ti 2.60
As 0.5000 0.5000 0.0000 [1 per cell]  4 Pd 2.56
Pd 0.0000 0.5000 0.8712 [2 per cell]  5 As 2.48-2.56
Pd 0.5000 0.5000 0.5000 [1 per cell]  4 As 2.60

Summary:
Energy of formation ... -0.8750 eV/atom

No. 4
This record from the Alexandria database describes Nd2TlAs3Pd4 after structural relaxation. The functional is GGA-PBE.

a b c (Å): 4.2574 4.2574 11.2695
angles (deg): 90.00 90.00 90.00
With the nearest neighbours (Å) after each atom.
Space group P-4m2 (No. 115)
Inequivalent atoms, fractional coordinates:
Nd 0.0000 0.5000 0.2258 [2 per cell]  4 As 3.20, 8 Pd 3.30-3.32
Tl 0.0000 0.0000 0.5000 [1 per cell]  4 Pd 2.75, 4 As 3.01
As 0.0000 0.5000 0.8698 [2 per cell]  5 Pd 2.43-2.59
As 0.5000 0.5000 0.5000 [1 per cell]  4 Pd 2.75, 4 Tl 3.01
Pd 0.0000 0.0000 0.0000 [1 per cell]  4 As 2.59
Pd 0.0000 0.5000 0.6544 [2 per cell]  1 As 2.43
Pd 0.5000 0.5000 0.0000 [1 per cell]  4 As 2.59

Summary:
Energy of formation ... -0.7631 eV/atom

no.,calculated density (g/cm3),total magnetization (μB/f.u.),VASP energy (eV/atom)
1,7.04,0.0,-5.6675
2,8.63,0.0,-5.1904
3,7.96,1.0,-6.0358
4,9.29,0.0,-5.4252